! Co2GeMoO6 | Alexandria via LeMat-Bulk | PBE+U | relaxed; values from VASP
&SYSTEM
  ibrav = 0, nat = 10, ntyp = 4
/
ATOMIC_SPECIES
Co 58.93 Co.upf
Ge 72.64 Ge.upf
Mo 95.94 Mo.upf
O 16.00 O.upf
CELL_PARAMETERS angstrom
2.530 1.461 4.698
-2.530 1.461 4.698
0.000 -2.921 4.698
ATOMIC_POSITIONS angstrom
Co 0.000 0.000 0.000
Co 0.000 0.000 6.800
Ge 0.000 0.000 9.673
Mo 0.000 0.000 2.757
O -0.858 -1.613 5.904
O -1.517 -0.108 8.455
O -0.968 1.550 5.904
O 0.852 -1.259 8.455
O 1.826 0.063 5.904
O 0.665 1.367 8.455
! - Mass density: 6.10 g/cm3
! - Space group: R3
! - Calculated total energy: -6.4963 eV/atom